Computed, not measured: a geometry-optimized Mn3ZnF structure at the GGA+U level of DFT.

a = 4.444 Å, b = 4.444 Å, c = 4.444 Å
α = 90.00°, β = 90.00°, γ = 90.00°
Atoms (fractional coordinates):
Mn: 0.000 0.000 0.500
Mn: 0.000 0.500 0.000
Mn: 0.500 0.000 0.000
Zn: 0.500 0.500 0.500
F: 0.000 0.000 0.000

Spin magnetization   13.9 μB per cell
DOS at the Fermi energy   0.279 states/eV/atom
Symmetry   Pm-3m, No. 221
Mass density   4.714 g/cm³
Energy above the lowest structure with this stoichiometry   0 meV per atom
V   87.8 Å³/cell